1.
Computed, not measured: a relaxed PmZrTi2 crystal at the PBE-GGA level of DFT.

Cell: 3.659 3.659 6.802 Å, 90.00 90.00 90.00°
Atoms (fractional coordinates):
Pm 0.000 0.000 0.000
Zr 0.000 0.000 0.500
Ti 0.500 0.500 0.300
Ti 0.500 0.500 0.700

The formation enthalpy at 0 K is 161 meV per atom. As for the density of states at the Fermi level: 5.42 states/eV/f.u. For the final energy, the calculation gives -7.111 eV/atom.

2.
Computed, not measured: a relaxed PmZrTi4 crystal at the PBE-GGA level of DFT.

Cell: 5.674 5.674 5.674 Å, 60.00 60.00 60.00°
Atoms (fractional coordinates):
Pm 0.000 0.000 0.000
Zr 0.750 0.750 0.750
Ti 0.379 0.379 0.379
Ti 0.379 0.379 0.863
Ti 0.379 0.863 0.379
Ti 0.863 0.379 0.379

The formation enthalpy at 0 K is 268 meV per atom. As for the density of states at the Fermi level: 10.91 states/eV/f.u. For the final energy, the calculation gives -7.211 eV/atom.

3.
Computed, not measured: a relaxed Pm2ZrTi crystal at the PBE-GGA level of DFT.

Cell: 3.287 3.287 34.057 Å, 90.00 90.00 120.00°
Atoms (fractional coordinates):
Pm 0.000 0.000 0.086
Pm 0.000 0.000 0.914
Pm 0.333 0.667 0.581
Pm 0.333 0.667 0.753
Pm 0.667 0.333 0.247
Pm 0.667 0.333 0.419
Zr 0.000 0.000 0.500
Zr 0.333 0.667 0.167
Zr 0.667 0.333 0.833
Ti 0.000 0.000 0.000
Ti 0.333 0.667 0.667
Ti 0.667 0.333 0.333

The formation enthalpy at 0 K is 467 meV per atom. As for the density of states at the Fermi level: 5.80 states/eV/f.u. For the final energy, the calculation gives -6.019 eV/atom.

4.
Computed, not measured: a relaxed Pm7Tl crystal at the PBE-GGA level of DFT.

Cell: 7.163 7.163 7.163 Å, 60.00 60.00 60.00°
Atoms (fractional coordinates):
Pm 0.000 0.000 0.000
Pm 0.000 0.000 0.500
Pm 0.000 0.500 0.000
Pm 0.000 0.500 0.500
Pm 0.500 0.000 0.000
Pm 0.500 0.000 0.500
Pm 0.500 0.500 0.000
Tl 0.500 0.500 0.500

The formation enthalpy at 0 K is -46 meV per atom. As for the density of states at the Fermi level: 10.48 states/eV/f.u. For the final energy, the calculation gives -4.499 eV/atom.

5.
Computed, not measured: a relaxed Pm4Tl crystal at the PBE-GGA level of DFT.

Cell: 8.795 6.911 10.211 Å, 58.06 41.82 80.13°
Atoms (fractional coordinates):
Pm 0.003 0.497 0.100
Pm 0.150 0.850 0.247
Pm 0.450 0.538 0.342
Pm 0.497 0.003 0.400
Pm 0.538 0.450 0.670
Pm 0.580 0.908 0.712
Pm 0.850 0.150 0.753
Pm 0.908 0.580 0.800
Tl 0.054 0.054 0.946
Tl 0.304 0.304 0.196

The formation enthalpy at 0 K is -82 meV per atom. As for the density of states at the Fermi level: 6.42 states/eV/f.u. For the final energy, the calculation gives -4.356 eV/atom. The calculation puts the relative energy among the computed polymorphs at 0.029 eV per atom.

6.
Computed, not measured: a relaxed Pm5Tl4 crystal at the PBE-GGA level of DFT.

Cell: 7.523 7.523 7.523 Å, 98.75 98.75 134.08°
Atoms (fractional coordinates):
Pm 0.000 0.000 0.000
Pm 0.277 0.629 0.906
Pm 0.371 0.277 0.648
Pm 0.629 0.723 0.352
Pm 0.723 0.371 0.094
Tl 0.043 0.339 0.382
Tl 0.339 0.957 0.295
Tl 0.661 0.043 0.705
Tl 0.957 0.661 0.618

The formation enthalpy at 0 K is -153 meV per atom. As for the density of states at the Fermi level: 7.95 states/eV/f.u. For the final energy, the calculation gives -3.844 eV/atom.

7.
Computed, not measured: a relaxed Pm7Tl5 crystal at the PBE-GGA level of DFT.

Cell: 6.438 6.438 14.269 Å, 110.01 110.01 44.94°
Atoms (fractional coordinates):
Pm 0.000 0.000 0.000
Pm 0.170 0.170 0.536
Pm 0.228 0.228 0.818
Pm 0.479 0.479 0.714
Pm 0.521 0.521 0.286
Pm 0.772 0.772 0.182
Pm 0.830 0.830 0.464
Tl 0.200 0.200 0.298
Tl 0.345 0.345 0.058
Tl 0.500 0.500 0.500
Tl 0.655 0.655 0.942
Tl 0.800 0.800 0.702

The formation enthalpy at 0 K is -219 meV per atom. As for the density of states at the Fermi level: 12.07 states/eV/f.u. For the final energy, the calculation gives -3.977 eV/atom.

8.
Computed, not measured: a relaxed Pm8Tl crystal at the PBE-GGA level of DFT.

Cell: 8.105 8.105 8.105 Å, 95.47 95.47 144.04°
Atoms (fractional coordinates):
Pm 0.000 0.335 0.335
Pm 0.000 0.665 0.665
Pm 0.335 0.000 0.335
Pm 0.339 0.339 0.678
Pm 0.339 0.661 0.000
Pm 0.661 0.339 0.000
Pm 0.661 0.661 0.322
Pm 0.665 0.000 0.665
Tl 0.000 0.000 0.000

The formation enthalpy at 0 K is -40 meV per atom. As for the density of states at the Fermi level: 13.39 states/eV/f.u. For the final energy, the calculation gives -4.526 eV/atom.

- The lowest final energy belongs to which entry?
  PmZrTi4

- The lowest final energy belongs to which entry?
  PmZrTi4

Repeat the fifth record exactly.
Computed, not measured: a relaxed Pm4Tl crystal at the PBE-GGA level of DFT.

Cell: 8.795 6.911 10.211 Å, 58.06 41.82 80.13°
Atoms (fractional coordinates):
Pm 0.003 0.497 0.100
Pm 0.150 0.850 0.247
Pm 0.450 0.538 0.342
Pm 0.497 0.003 0.400
Pm 0.538 0.450 0.670
Pm 0.580 0.908 0.712
Pm 0.850 0.150 0.753
Pm 0.908 0.580 0.800
Tl 0.054 0.054 0.946
Tl 0.304 0.304 0.196

The formation enthalpy at 0 K is -82 meV per atom. As for the density of states at the Fermi level: 6.42 states/eV/f.u. For the final energy, the calculation gives -4.356 eV/atom. The calculation puts the relative energy among the computed polymorphs at 0.029 eV per atom.

- final energy of number 8 (Pm8Tl)?
  -4.526 eV/atom